<a>
Computed, not measured: crystalline EuPbS2 at its relaxed geometry at the PBE level of DFT.

Properties
Calculated volume in Å³/f.u.: 93.6
Size of the total moment in μB/cell: 6.94
Space group: P4/mmm, No. 123

Cell: 3.6535 5.0605 5.0605 Å, 90.00 90.00 90.00°
Fractional coordinates of all 4 atoms:
Eu (0.5000, 0.0000, 0.0000)
Pb (0.5000, 0.5000, 0.5000)
S (0.0000, 0.5000, 0.0000)
S (0.0000, 0.0000, 0.5000)



<b>
Computed, not measured: crystalline EuPbS2 at its relaxed geometry at the PBE level of DFT.

Properties
Calculated volume in Å³/f.u.: 125.8
Size of the total moment in μB/cell: 6.28
Space group: R-3m, No. 166

Cell: 4.1317 4.1317 8.8394 Å, 76.48 76.48 60.00°
Fractional coordinates of all 4 atoms:
Eu (0.5000, 0.5000, 0.5000)
Pb (0.0000, 0.0000, 0.0000)
S (0.1079, 0.1079, 0.6764)
S (0.8921, 0.8921, 0.3236)



In terms of stability, <a> leads; the second structure lies 129 meV per atom higher.



<a>
Computed, not measured: crystalline EuScPb2 at its relaxed geometry at the PBE level of DFT.

Properties
Calculated volume in Å³/f.u.: 116.9
Size of the total moment in μB/cell: 7.08
Space group: R-3m, No. 166

Cell: 5.0679 5.0679 6.0141 Å, 65.08 65.08 60.00°
Fractional coordinates of all 4 atoms:
Pb (0.2409, 0.2409, 0.2774)
Pb (0.7591, 0.7591, 0.7226)
Sc (0.5000, 0.5000, 0.5000)
Eu (0.0000, 0.0000, 0.0000)



<b>
Computed, not measured: crystalline EuScPb2 at its relaxed geometry at the PBE level of DFT.

Properties
Calculated volume in Å³/f.u.: 113.2
Size of the total moment in μB/cell: 7.26
Space group: P4/mmm, No. 123

Cell: 3.9451 3.9451 7.2754 Å, 90.00 90.00 90.00°
Fractional coordinates of all 4 atoms:
Pb (0.0000, 0.0000, 0.2197)
Pb (0.0000, 0.0000, 0.7803)
Eu (0.5000, 0.5000, 0.5000)
Sc (0.5000, 0.5000, 0.0000)



<c>
Computed, not measured: crystalline EuScPb2 at its relaxed geometry at the PBE level of DFT.

Properties
Calculated volume in Å³/f.u.: 112.8
Size of the total moment in μB/cell: 7.08
Space group: Fm-3m, No. 225

Cell: 5.4236 5.4236 5.4236 Å, 60.00 60.00 60.00°
Fractional coordinates of all 4 atoms:
Sc (0.5000, 0.5000, 0.5000)
Pb (0.2500, 0.2500, 0.2500)
Pb (0.7500, 0.7500, 0.7500)
Eu (0.0000, 0.0000, 0.0000)



In terms of stability, <b> leads; the second structure lies 42 meV per atom higher.



<a>
Computed, not measured: crystalline EuPbSe2 at its relaxed geometry at the PBE level of DFT.

Properties
Calculated volume in Å³/f.u.: 104.9
Size of the total moment in μB/cell: 6.92
Space group: P4/mmm, No. 123

Cell: 3.7963 5.2565 5.2565 Å, 90.00 90.00 90.00°
Fractional coordinates of all 4 atoms:
Se (0.0000, 0.0000, 0.5000)
Se (0.0000, 0.5000, 0.0000)
Pb (0.5000, 0.0000, 0.0000)
Eu (0.5000, 0.5000, 0.5000)



<b>
Computed, not measured: crystalline EuPbSe2 at its relaxed geometry at the PBE level of DFT.

Properties
Calculated volume in Å³/f.u.: 119.0
Size of the total moment in μB/cell: 7.00
Space group: R-3m, No. 166

Cell: 4.3781 4.3781 7.6007 Å, 73.26 73.26 60.00°
Fractional coordinates of all 4 atoms:
Eu (0.5000, 0.5000, 0.5000)
Pb (0.0000, 0.0000, 0.0000)
Se (0.2475, 0.2475, 0.2575)
Se (0.7525, 0.7525, 0.7425)



In terms of stability, <b> leads; the second structure lies 187 meV per atom higher.



<a>
Computed, not measured: crystalline Eu2SiPb at its relaxed geometry at the PBE level of DFT.

Properties
Calculated volume in Å³/f.u.: 110.3
Size of the total moment in μB/cell: 14.03
Space group: P4/mmm, No. 123

Cell: 4.5163 4.9427 4.9427 Å, 90.00 90.00 90.00°
Fractional coordinates of all 4 atoms:
Eu (0.0000, 0.5000, 0.0000)
Eu (0.0000, 0.0000, 0.5000)
Si (0.5000, 0.0000, 0.0000)
Pb (0.5000, 0.5000, 0.5000)



<b>
Computed, not measured: crystalline Eu2SiPb at its relaxed geometry at the PBE level of DFT.

Properties
Calculated volume in Å³/f.u.: 110.7
Size of the total moment in μB/cell: 13.83
Space group: P4/mmm, No. 123

Cell: 3.5176 3.5176 8.9455 Å, 90.00 90.00 90.00°
Fractional coordinates of all 4 atoms:
Eu (0.0000, 0.0000, 0.7837)
Eu (0.0000, 0.0000, 0.2163)
Si (0.5000, 0.5000, 0.0000)
Pb (0.5000, 0.5000, 0.5000)



<c>
Computed, not measured: crystalline Eu2SiPb at its relaxed geometry at the PBE level of DFT.

Properties
Calculated volume in Å³/f.u.: 130.5
Size of the total moment in μB/cell: 14.52
Space group: R-3m, No. 166

Cell: 3.7277 3.7277 11.0530 Å, 80.29 80.29 60.00°
Fractional coordinates of all 4 atoms:
Si (0.5000, 0.5000, 0.5000)
Eu (0.8972, 0.8972, 0.3085)
Eu (0.1028, 0.1028, 0.6915)
Pb (0.0000, 0.0000, 0.0000)



In terms of stability, <b> leads; the second structure lies 64 meV per atom higher.